First-principles (PBE) data for a geometry-optimized PBrCl2F structure, as listed in the Alexandria database.

Cell and atoms, written as CIF:
```
data_PBrCl2F
_chemical_formula_sum 'P1 Br1 Cl2 F1'
_cell_length_a 5.1312
_cell_length_b 5.1312
_cell_length_c 5.1261
_cell_angle_alpha 90.00
_cell_angle_beta 90.00
_cell_angle_gamma 90.00
_symmetry_space_group_name_H-M 'P 1'
_symmetry_Int_Tables_number 1
_symmetry_space_group_name_Hall 'P 1'
loop_
_atom_site_label
_atom_site_type_symbol
_atom_site_fract_x
_atom_site_fract_y
_atom_site_fract_z
_atom_site_occupancy
P1 P 0.0000 0.0000 0.0000 1
Br1 Br 0.0000 0.0000 0.5000 1
Cl1 Cl 0.0000 0.5000 0.5000 1
Cl2 Cl 0.5000 0.0000 0.5000 1
F1 F 0.5000 0.5000 0.0000 1
```

**Energy above the most stable polymorph in this dataset**: 373 meV/atom
**DFT total energy**: -1.8327 eV/atom
**Volume**: 26.99 A^3/atom
**Mass density**: 2.47 g cm⁻³
**Formation energy without anion corrections**: 0.697 eV/atom

=====

First-principles (PBE) data for a geometry-optimized PBr2Cl3F6 structure, as listed in the Alexandria database.

Cell and atoms, written as CIF:
```
data_PBr2Cl3F6
_chemical_formula_sum 'P1 Br2 Cl3 F6'
_cell_length_a 7.1871
_cell_length_b 7.1871
_cell_length_c 5.6738
_cell_angle_alpha 95.87
_cell_angle_beta 95.87
_cell_angle_gamma 60.02
_symmetry_space_group_name_H-M 'P 1'
_symmetry_Int_Tables_number 1
_symmetry_space_group_name_Hall 'P 1'
loop_
_atom_site_label
_atom_site_type_symbol
_atom_site_fract_x
_atom_site_fract_y
_atom_site_fract_z
_atom_site_occupancy
P1 P 0.0000 0.0000 0.0000 1
Br1 Br 0.3213 0.3213 0.2843 1
Br2 Br 0.6787 0.6787 0.7157 1
Cl1 Cl 0.0000 0.5000 0.5000 1
Cl2 Cl 0.5000 0.0000 0.5000 1
Cl3 Cl 0.5000 0.5000 0.5000 1
F1 F 0.0418 0.0418 0.2817 1
F2 F 0.0723 0.7476 0.0411 1
F3 F 0.2524 0.9277 0.9589 1
F4 F 0.7476 0.0723 0.0411 1
F5 F 0.9277 0.2524 0.9589 1
F6 F 0.9582 0.9582 0.7183 1
```

**DFT total energy**: -3.4905 eV/atom
**Volume**: 21.01 A^3/atom
**Mass density**: 2.71 g cm⁻³
**Formation energy without anion corrections**: -1.364 eV/atom

=====

First-principles (PBE) data for a geometry-optimized PmBrClF structure, as listed in the Alexandria database.

Cell and atoms, written as CIF:
```
data_PmBrClF
_chemical_formula_sum 'Pm3 Br3 Cl3 F3'
_cell_length_a 4.0893
_cell_length_b 4.0893
_cell_length_c 22.0398
_cell_angle_alpha 90.00
_cell_angle_beta 90.00
_cell_angle_gamma 120.00
_symmetry_space_group_name_H-M 'P 1'
_symmetry_Int_Tables_number 1
_symmetry_space_group_name_Hall 'P 1'
loop_
_atom_site_label
_atom_site_type_symbol
_atom_site_fract_x
_atom_site_fract_y
_atom_site_fract_z
_atom_site_occupancy
Pm1 Pm 0.0000 0.0000 0.0000 1
Pm2 Pm 0.3333 0.6667 0.6667 1
Pm3 Pm 0.6667 0.3333 0.3333 1
Br1 Br 0.0000 0.0000 0.5766 1
Br2 Br 0.3333 0.6667 0.2432 1
Br3 Br 0.6667 0.3333 0.9099 1
Cl1 Cl 0.0000 0.0000 0.7459 1
Cl2 Cl 0.3333 0.6667 0.4125 1
Cl3 Cl 0.6667 0.3333 0.0792 1
F1 F 0.0000 0.0000 0.3335 1
F2 F 0.3333 0.6667 0.0001 1
F3 F 0.6667 0.3333 0.6668 1
```

**DFT total energy**: -5.3048 eV/atom
**Volume**: 26.60 A^3/atom
**Mass density**: 4.36 g cm⁻³
**Formation energy without anion corrections**: -2.769 eV/atom

=====

First-principles (PBE) data for a geometry-optimized PrBrClF structure, as listed in the Alexandria database.

Cell and atoms, written as CIF:
```
data_PrBrClF
_chemical_formula_sum 'Pr3 Br3 Cl3 F3'
_cell_length_a 4.1630
_cell_length_b 4.1630
_cell_length_c 21.9807
_cell_angle_alpha 90.00
_cell_angle_beta 90.00
_cell_angle_gamma 120.00
_symmetry_space_group_name_H-M 'P 1'
_symmetry_Int_Tables_number 1
_symmetry_space_group_name_Hall 'P 1'
loop_
_atom_site_label
_atom_site_type_symbol
_atom_site_fract_x
_atom_site_fract_y
_atom_site_fract_z
_atom_site_occupancy
Pr1 Pr 0.0000 0.0000 0.0000 1
Pr2 Pr 0.3333 0.6667 0.6667 1
Pr3 Pr 0.6667 0.3333 0.3333 1
Br1 Br 0.0000 0.0000 0.4242 1
Br2 Br 0.3333 0.6667 0.0909 1
Br3 Br 0.6667 0.3333 0.7576 1
Cl1 Cl 0.0000 0.0000 0.2536 1
Cl2 Cl 0.3333 0.6667 0.9203 1
Cl3 Cl 0.6667 0.3333 0.5869 1
F1 F 0.0000 0.0000 0.6665 1
F2 F 0.3333 0.6667 0.3331 1
F3 F 0.6667 0.3333 0.9998 1
```

**DFT total energy**: -5.3121 eV/atom
**Volume**: 27.49 A^3/atom
**Mass density**: 4.16 g cm⁻³
**Formation energy without anion corrections**: -2.770 eV/atom

=====

First-principles (PBE) data for a geometry-optimized PuBr2Cl3F6 structure, as listed in the Alexandria database.

Cell and atoms, written as CIF:
```
data_PuBr2Cl3F6
_chemical_formula_sum 'Pu1 Br2 Cl3 F6'
_cell_length_a 8.7340
_cell_length_b 8.7340
_cell_length_c 5.1695
_cell_angle_alpha 99.87
_cell_angle_beta 99.87
_cell_angle_gamma 54.09
_symmetry_space_group_name_H-M 'P 1'
_symmetry_Int_Tables_number 1
_symmetry_space_group_name_Hall 'P 1'
loop_
_atom_site_label
_atom_site_type_symbol
_atom_site_fract_x
_atom_site_fract_y
_atom_site_fract_z
_atom_site_occupancy
Pu1 Pu 0.0000 0.0000 0.0000 1
Br1 Br 0.3388 0.3388 0.4534 1
Br2 Br 0.6612 0.6612 0.5466 1
Cl1 Cl 0.0000 0.5000 0.5000 1
Cl2 Cl 0.5000 0.0000 0.5000 1
Cl3 Cl 0.5000 0.5000 0.5000 1
F1 F 0.0729 0.0729 0.3695 1
F2 F 0.1016 0.7378 0.0957 1
F3 F 0.2622 0.8984 0.9043 1
F4 F 0.7378 0.1016 0.0957 1
F5 F 0.8984 0.2622 0.9043 1
F6 F 0.9271 0.9271 0.6305 1
```

**DFT total energy**: -4.4989 eV/atom
**Volume**: 26.12 A^3/atom
**Mass density**: 3.31 g cm⁻³
**Formation energy without anion corrections**: -1.628 eV/atom

=====

First-principles (PBE) data for a geometry-optimized Rb2BrCl6F structure, as listed in the Alexandria database.

Cell and atoms, written as CIF:
```
data_Rb2BrCl6F
_chemical_formula_sum 'Rb2 Br1 Cl6 F1'
_cell_length_a 7.2483
_cell_length_b 7.2483
_cell_length_c 7.2483
_cell_angle_alpha 60.00
_cell_angle_beta 60.00
_cell_angle_gamma 60.00
_symmetry_space_group_name_H-M 'P 1'
_symmetry_Int_Tables_number 1
_symmetry_space_group_name_Hall 'P 1'
loop_
_atom_site_label
_atom_site_type_symbol
_atom_site_fract_x
_atom_site_fract_y
_atom_site_fract_z
_atom_site_occupancy
Rb1 Rb 0.2500 0.2500 0.2500 1
Rb2 Rb 0.7500 0.7500 0.7500 1
Br1 Br 0.0000 0.0000 0.0000 1
Cl1 Cl 0.2410 0.2410 0.7590 1
Cl2 Cl 0.2410 0.7590 0.2410 1
Cl3 Cl 0.2410 0.7590 0.7590 1
Cl4 Cl 0.7590 0.2410 0.2410 1
Cl5 Cl 0.7590 0.2410 0.7590 1
Cl6 Cl 0.7590 0.7590 0.2410 1
F1 F 0.5000 0.5000 0.5000 1
```

**Energy above the most stable polymorph in this dataset**: 0 meV/atom
**DFT total energy**: -2.4251 eV/atom
**Volume**: 26.93 A^3/atom
**Mass density**: 2.98 g cm⁻³
**Formation energy without anion corrections**: -0.769 eV/atom

=====

First-principles (PBE) data for a geometry-optimized Rb4Br2ClF structure, as listed in the Alexandria database.

Cell and atoms, written as CIF:
```
data_Rb4Br2ClF
_chemical_formula_sum 'Rb8 Br4 Cl2 F2'
_cell_length_a 9.3799
_cell_length_b 9.3799
_cell_length_c 9.2848
_cell_angle_alpha 119.65
_cell_angle_beta 119.65
_cell_angle_gamma 89.94
_symmetry_space_group_name_H-M 'P 1'
_symmetry_Int_Tables_number 1
_symmetry_space_group_name_Hall 'P 1'
loop_
_atom_site_label
_atom_site_type_symbol
_atom_site_fract_x
_atom_site_fract_y
_atom_site_fract_z
_atom_site_occupancy
Rb1 Rb 0.2173 0.2244 0.4714 1
Rb2 Rb 0.2244 0.2173 0.9714 1
Rb3 Rb 0.2331 0.7670 0.5077 1
Rb4 Rb 0.2330 0.7669 0.9923 1
Rb5 Rb 0.7670 0.2331 0.0077 1
Rb6 Rb 0.7669 0.2330 0.4923 1
Rb7 Rb 0.7756 0.7827 0.0286 1
Rb8 Rb 0.7827 0.7756 0.5286 1
Br1 Br 0.0000 0.5000 0.0000 1
Br2 Br 0.5000 0.0000 0.5000 1
Br3 Br 0.5000 0.5000 0.0000 1
Br4 Br 0.5000 0.5000 0.5000 1
Cl1 Cl 0.0000 0.5000 0.5000 1
Cl2 Cl 0.5000 0.0000 0.0000 1
F1 F 0.0000 0.0000 0.0000 1
F2 F 0.0000 0.0000 0.5000 1
```

**DFT total energy**: -3.3498 eV/atom
**Volume**: 36.50 A^3/atom
**Mass density**: 3.16 g cm⁻³
**Formation energy without anion corrections**: -1.983 eV/atom

=====

First-principles (PBE) data for a geometry-optimized Rb2BrCl6F structure, as listed in the Alexandria database.

Cell and atoms, written as CIF:
```
data_Rb2BrCl6F
_chemical_formula_sum 'Rb2 Br1 Cl6 F1'
_cell_length_a 7.0947
_cell_length_b 7.0947
_cell_length_c 7.0947
_cell_angle_alpha 114.25
_cell_angle_beta 114.25
_cell_angle_gamma 100.28
_symmetry_space_group_name_H-M 'P 1'
_symmetry_Int_Tables_number 1
_symmetry_space_group_name_Hall 'P 1'
loop_
_atom_site_label
_atom_site_type_symbol
_atom_site_fract_x
_atom_site_fract_y
_atom_site_fract_z
_atom_site_occupancy
Rb1 Rb 0.2500 0.7500 0.5000 1
Rb2 Rb 0.7500 0.2500 0.5000 1
Br1 Br 0.0000 0.0000 0.0000 1
Cl1 Cl 0.2285 0.2285 0.4570 1
Cl2 Cl 0.2285 0.7715 0.0000 1
Cl3 Cl 0.2702 0.2702 0.0000 1
Cl4 Cl 0.7298 0.7298 0.0000 1
Cl5 Cl 0.7715 0.2285 0.0000 1
Cl6 Cl 0.7715 0.7715 0.5430 1
F1 F 0.5000 0.5000 0.0000 1
```

**Energy above the most stable polymorph in this dataset**: 56 meV/atom
**DFT total energy**: -2.3693 eV/atom
**Volume**: 26.97 A^3/atom
**Mass density**: 2.97 g cm⁻³
**Formation energy without anion corrections**: -0.713 eV/atom

=====

First-principles (PBE) data for a geometry-optimized Rb4BrCl2F structure, as listed in the Alexandria database.

Cell and atoms, written as CIF:
```
data_Rb4BrCl2F
_chemical_formula_sum 'Rb8 Br2 Cl4 F2'
_cell_length_a 9.2936
_cell_length_b 9.2936
_cell_length_c 9.2936
_cell_angle_alpha 120.00
_cell_angle_beta 119.87
_cell_angle_gamma 90.11
_symmetry_space_group_name_H-M 'P 1'
_symmetry_Int_Tables_number 1
_symmetry_space_group_name_Hall 'P 1'
loop_
_atom_site_label
_atom_site_type_symbol
_atom_site_fract_x
_atom_site_fract_y
_atom_site_fract_z
_atom_site_occupancy
Rb1 Rb 0.2324 0.2239 0.0084 1
Rb2 Rb 0.2541 0.2357 0.4816 1
Rb3 Rb 0.2541 0.7724 0.0184 1
Rb4 Rb 0.2845 0.7761 0.5084 1
Rb5 Rb 0.7155 0.2239 0.4916 1
Rb6 Rb 0.7459 0.2276 0.9816 1
Rb7 Rb 0.7459 0.7643 0.5184 1
Rb8 Rb 0.7676 0.7761 0.9916 1
Br1 Br 0.0000 0.0000 0.5000 1
Br2 Br 0.0000 0.5000 0.0000 1
Cl1 Cl 0.0000 0.5000 0.5000 1
Cl2 Cl 0.5000 0.0000 0.0000 1
Cl3 Cl 0.5000 0.5000 0.0000 1
Cl4 Cl 0.5000 0.5000 0.5000 1
F1 F 0.0000 0.0000 0.0000 1
F2 F 0.5000 0.0000 0.5000 1
```

**DFT total energy**: -3.4151 eV/atom
**Volume**: 35.51 A^3/atom
**Mass density**: 2.99 g cm⁻³
**Formation energy without anion corrections**: -2.027 eV/atom

=====

First-principles (PBE) data for a geometry-optimized Rb4BrClF2 structure, as listed in the Alexandria database.

Cell and atoms, written as CIF:
```
data_Rb4BrClF2
_chemical_formula_sum 'Rb8 Br2 Cl2 F4'
_cell_length_a 8.8950
_cell_length_b 8.8950
_cell_length_c 8.8950
_cell_angle_alpha 120.62
_cell_angle_beta 119.52
_cell_angle_gamma 89.87
_symmetry_space_group_name_H-M 'P 1'
_symmetry_Int_Tables_number 1
_symmetry_space_group_name_Hall 'P 1'
loop_
_atom_site_label
_atom_site_type_symbol
_atom_site_fract_x
_atom_site_fract_y
_atom_site_fract_z
_atom_site_occupancy
Rb1 Rb 0.2651 0.2429 0.4778 1
Rb2 Rb 0.2651 0.7873 0.0222 1
Rb3 Rb 0.2707 0.2383 0.0324 1
Rb4 Rb 0.2941 0.7617 0.5324 1
Rb5 Rb 0.7059 0.2383 0.4676 1
Rb6 Rb 0.7293 0.7617 0.9676 1
Rb7 Rb 0.7349 0.2127 0.9778 1
Rb8 Rb 0.7349 0.7571 0.5222 1
Br1 Br 0.0000 0.0000 0.5000 1
Br2 Br 0.0000 0.5000 0.0000 1
Cl1 Cl 0.0000 0.5000 0.5000 1
Cl2 Cl 0.5000 0.5000 0.0000 1
F1 F 0.0000 0.0000 0.0000 1
F2 F 0.5000 0.0000 0.0000 1
F3 F 0.5000 0.0000 0.5000 1
F4 F 0.5000 0.5000 0.5000 1
```

**DFT total energy**: -3.6023 eV/atom
**Volume**: 31.06 A^3/atom
**Mass density**: 3.31 g cm⁻³
**Formation energy without anion corrections**: -2.211 eV/atom

=====

First-principles (PBE) data for a geometry-optimized Rb6Br2Cl3F structure, as listed in the Alexandria database.

Cell and atoms, written as CIF:
```
data_Rb6Br2Cl3F
_chemical_formula_sum 'Rb6 Br2 Cl3 F1'
_cell_length_a 10.5034
_cell_length_b 10.5034
_cell_length_c 9.5603
_cell_angle_alpha 102.63
_cell_angle_beta 102.63
_cell_angle_gamma 25.63
_symmetry_space_group_name_H-M 'P 1'
_symmetry_Int_Tables_number 1
_symmetry_space_group_name_Hall 'P 1'
loop_
_atom_site_label
_atom_site_type_symbol
_atom_site_fract_x
_atom_site_fract_y
_atom_site_fract_z
_atom_site_occupancy
Rb1 Rb 0.0031 0.0031 0.2801 1
Rb2 Rb 0.3372 0.3372 0.9042 1
Rb3 Rb 0.3473 0.3473 0.4325 1
Rb4 Rb 0.6527 0.6527 0.5675 1
Rb5 Rb 0.6628 0.6628 0.0958 1
Rb6 Rb 0.9969 0.9969 0.7199 1
Br1 Br 0.1652 0.1652 0.8324 1
Br2 Br 0.8348 0.8348 0.1676 1
Cl1 Cl 0.1672 0.1672 0.3395 1
Cl2 Cl 0.5000 0.5000 0.0000 1
Cl3 Cl 0.8328 0.8328 0.6605 1
F1 F 0.5000 0.5000 0.5000 1
```

**DFT total energy**: -3.3438 eV/atom
**Volume**: 37.05 A^3/atom
**Mass density**: 2.98 g cm⁻³
**Formation energy without anion corrections**: -1.964 eV/atom

=====

First-principles (PBE) data for a geometry-optimized RbBrCl2F8 structure, as listed in the Alexandria database.

Cell and atoms, written as CIF:
```
data_RbBrCl2F8
_chemical_formula_sum 'Rb1 Br1 Cl2 F8'
_cell_length_a 6.3936
_cell_length_b 6.3936
_cell_length_c 7.4860
_cell_angle_alpha 90.00
_cell_angle_beta 90.00
_cell_angle_gamma 120.00
_symmetry_space_group_name_H-M 'P 1'
_symmetry_Int_Tables_number 1
_symmetry_space_group_name_Hall 'P 1'
loop_
_atom_site_label
_atom_site_type_symbol
_atom_site_fract_x
_atom_site_fract_y
_atom_site_fract_z
_atom_site_occupancy
Rb1 Rb 0.0000 0.0000 0.0000 1
Br1 Br 0.0000 0.0000 0.5000 1
Cl1 Cl 0.3333 0.6667 0.1616 1
Cl2 Cl 0.6667 0.3333 0.8384 1
F1 F 0.1382 0.2763 0.6500 1
F2 F 0.1382 0.8618 0.6500 1
F3 F 0.2763 0.1382 0.3500 1
F4 F 0.3333 0.6667 0.9391 1
F5 F 0.6667 0.3333 0.0609 1
F6 F 0.7237 0.8618 0.6500 1
F7 F 0.8618 0.1382 0.3500 1
F8 F 0.8618 0.7237 0.3500 1
```

**DFT total energy**: -2.8476 eV/atom
**Volume**: 22.08 A^3/atom
**Mass density**: 2.43 g cm⁻³
**Formation energy without anion corrections**: -1.072 eV/atom